[1]
VASP calculation (PBE-GGA) on a relaxed structure of LaNbGaCl2.

Calculated values
Formation energy from raw total energies in kJ/mol of atoms: 14
Space-group type: No. 123

```
LaNbGaCl2
1.0
5.0412 0.0000 0.0000
0.0000 5.0412 0.0000
0.0000 0.0000 5.3978
La Nb Ga Cl
1 1 1 2
Direct
0.0000 0.0000 0.0000 La
0.5000 0.5000 0.0000 Nb
0.5000 0.5000 0.5000 Ga
0.0000 0.5000 0.5000 Cl
0.5000 0.0000 0.5000 Cl
```


[2]
VASP calculation (PBE-GGA) on a relaxed structure of LaGa2NiCl.

Calculated values
Formation energy from raw total energies in kJ/mol of atoms: 2
Space-group type: No. 123

```
LaGa2NiCl
1.0
5.3285 0.0000 0.0000
0.0000 5.3285 0.0000
0.0000 0.0000 4.1783
La Ga Ni Cl
1 2 1 1
Direct
0.0000 0.0000 0.0000 La
0.0000 0.5000 0.5000 Ga
0.5000 0.0000 0.5000 Ga
0.5000 0.5000 0.0000 Ni
0.5000 0.5000 0.5000 Cl
```


[3]
VASP calculation (PBE-GGA) on a relaxed structure of LaGaNiCl2.

Calculated values
Formation energy from raw total energies in kJ/mol of atoms: -39
Space-group type: No. 123

```
LaGaNiCl2
1.0
4.8987 0.0000 0.0000
0.0000 4.8987 0.0000
0.0000 0.0000 5.3802
La Ga Ni Cl
1 1 1 2
Direct
0.0000 0.0000 0.0000 La
0.5000 0.5000 0.0000 Ga
0.0000 0.0000 0.5000 Ni
0.0000 0.5000 0.5000 Cl
0.5000 0.0000 0.5000 Cl
```